Record 1
The following is a DFT calculation (GGA-PBE) of KRb4Cu3Cl12 after structural relaxation.

abc: 8.8782 8.8782 8.8782
angles: 109.47 109.47 109.47
Last column: nearest neighbours and their distance in Å.
Positions (direct):
Rb (0.0000, 0.5000, 0.0000)  12 Cl 3.62-3.64
Cl (0.2500, 0.5000, 0.7500)  2 Cu 2.56
Cl (0.7164, 0.7164, 0.0000)  1 Cu 2.22
Cu (0.0000, 0.5000, 0.5000)  2 Cl 2.22
Cl (0.7500, 0.5000, 0.2500)  2 Cu 2.56
Cl (0.0000, 0.2836, 0.2836)  1 Cu 2.22
Cl (0.0000, 0.7164, 0.7164)  1 Cu 2.22
Cl (0.2500, 0.7500, 0.5000)  2 Cu 2.56
K (0.0000, 0.0000, 0.0000)  6 Cl 2.91
Cl (0.2836, 0.0000, 0.2836)  1 Cu 2.22
Cl (0.5000, 0.2500, 0.7500)  2 Cu 2.56
Cl (0.7164, 0.0000, 0.7164)  1 Cu 2.22
Cl (0.2836, 0.2836, 0.0000)  1 Cu 2.22
Rb (0.5000, 0.0000, 0.0000)  12 Cl 3.62-3.64
Cu (0.5000, 0.0000, 0.5000)  2 Cl 2.22
Cl (0.5000, 0.7500, 0.2500)  2 Cu 2.56
Cl (0.7500, 0.2500, 0.5000)  2 Cu 2.56
Cu (0.5000, 0.5000, 0.0000)  2 Cl 2.22
Rb (0.5000, 0.5000, 0.5000)  12 Cl 3.62-3.64
Rb (0.0000, 0.0000, 0.5000)  12 Cl 3.62-3.64

Output
SG: Im-3m, No. 229
ΔE_f (raw): -1194 meV/atom

---

Record 2
The following is a DFT calculation (GGA-PBE) of YGa4Os after structural relaxation.

abc: 4.0838 6.9555 7.7873
angles: 90.00 90.00 90.00
Last column: nearest neighbours and their distance in Å.
Positions (direct):
Ga (0.5000, 0.9510, 0.7500)  2 Os 2.68, 6 Ga 2.84-2.97
Ga (0.0000, 0.0000, 0.5000)  2 Os 2.40
Ga (0.5000, 0.6752, 0.0652)  2 Ga 2.64-2.88, 2 Os 2.64
Os (0.0000, 0.7985, 0.2500)  8 Ga 2.40-2.68
Os (0.0000, 0.2015, 0.7500)  8 Ga 2.40-2.68
Ga (0.5000, 0.0490, 0.2500)  2 Os 2.68, 6 Ga 2.84-2.97
Y (0.0000, 0.6288, 0.7500)  1 Os 2.97, 12 Ga 3.03-3.27
Ga (0.0000, 0.0000, 0.0000)  2 Os 2.40
Ga (0.5000, 0.3248, 0.9348)  2 Ga 2.64-2.88, 2 Os 2.64
Ga (0.5000, 0.3248, 0.5652)  2 Ga 2.64-2.88, 2 Os 2.64
Ga (0.5000, 0.6752, 0.4348)  2 Ga 2.64-2.88, 2 Os 2.64
Y (0.0000, 0.3712, 0.2500)  1 Os 2.97, 12 Ga 3.03-3.27

Output
SG: Pmma, No. 51
ΔH_f (0 K): -2.50 eV/f.u.

---

Record 3
The following is a DFT calculation (GGA-PBE) of SrTa2W after structural relaxation.

abc: 11.1920 11.1920 11.1920
angles: 15.08 15.08 15.08
Last column: nearest neighbours and their distance in Å.
Positions (direct):
Ta (0.5090, 0.5090, 0.5090)  6 Ta 2.94, 3 W 2.99
Sr (0.7500, 0.7500, 0.7500)  6 Sr 2.94
Ta (0.9910, 0.9910, 0.9910)  6 Ta 2.94, 3 W 2.99
W (0.2500, 0.2500, 0.2500)  6 W 2.94, 6 Ta 2.99

Output
SG: R-3m, No. 166
ΔE to the lowest computed polymorph: 355 meV per atom
ΔH_f (0 K): 3.71 eV/f.u.

---

Record 4
The following is a DFT calculation (GGA-PBE) of Pu3Tl4SnSe8 after structural relaxation.

abc: 8.5486 9.0839 8.5491
angles: 118.11 120.00 90.00
Last column: nearest neighbours and their distance in Å.
Positions (direct):
Se (0.2402, 0.7036, 0.4803)  2 Pu 2.88, 1 Sn 2.99
Se (0.7236, 0.7037, 0.9638)  2 Pu 2.88, 1 Sn 2.99
Tl (0.5000, 0.0000, 0.0000)  6 Se 3.28-3.29
Se (0.2402, 0.7037, 0.9638)  2 Pu 2.88, 1 Sn 2.99
Tl (0.0000, 0.0000, 0.0000)  6 Se 3.35-3.38
Se (0.2658, 0.2975, 0.5316)  3 Pu 2.91
Se (0.7342, 0.7025, 0.4684)  3 Pu 2.91
Se (0.7598, 0.2963, 0.0362)  2 Pu 2.88, 1 Sn 2.99
Sn (0.0000, 0.5000, 0.0000)  6 Se 2.99
Pu (0.0000, 0.5000, 0.5000)  6 Se 2.88-2.91
Se (0.7598, 0.2964, 0.5197)  2 Pu 2.88, 1 Sn 2.99
Se (0.2764, 0.2963, 0.0362)  2 Pu 2.88, 1 Sn 2.99
Pu (0.5000, 0.5000, 0.5000)  6 Se 2.88-2.91
Pu (0.5000, 0.5000, 0.0000)  6 Se 2.88-2.91
Tl (0.0000, 0.0000, 0.5000)  6 Se 3.35-3.38
Tl (0.5000, 0.0000, 0.5000)  6 Se 3.35-3.38

Output
SG: R-3m, No. 166
ΔE_f (raw): -942 meV/atom

---

Record 5
The following is a DFT calculation (GGA-PBE) of TbPr2Si after structural relaxation.

abc: 3.7502 3.7502 11.1827
angles: 80.35 80.35 60.00
Last column: nearest neighbours and their distance in Å.
Positions (direct):
Pr (0.8929, 0.8929, 0.3213)  3 Si 2.92
Si (0.5000, 0.5000, 0.5000)  6 Pr 2.92
Tb (0.0000, 0.0000, 0.0000)  2 Pr 3.52, 6 Tb 3.75
Pr (0.1071, 0.1071, 0.6787)  3 Si 2.92

Output
SG: R-3m, No. 166
ΔE_f (raw): 78 meV/atom
ΔE to the lowest computed polymorph: 316 meV per atom

---

Record 6
The following is a DFT calculation (GGA-PBE) of LiSnSe3 after structural relaxation.

abc: 4.0693 10.4816 7.2200
angles: 103.26 90.03 101.11
Last column: nearest neighbours and their distance in Å.
Positions (direct):
Se (0.0085, 0.0187, 0.1728)  1 Se 2.43, 1 Sn 2.65
Sn (0.1198, 0.2423, 0.8499)  4 Se 2.47-2.65
Se (0.3325, 0.6622, 0.9276)  2 Sn 2.64, 1 Li 2.70
Se (0.8526, 0.6997, 0.4635)  1 Sn 2.47, 2 Li 2.58
Sn (0.8802, 0.7577, 0.1501)  4 Se 2.47-2.65
Se (0.1474, 0.3003, 0.5365)  1 Sn 2.47, 2 Li 2.58
Li (0.4061, 0.8070, 0.6603)  5 Se 2.58-2.80
Se (0.9915, 0.9813, 0.8272)  1 Se 2.43, 1 Sn 2.65
Se (0.6675, 0.3378, 0.0724)  2 Sn 2.64, 1 Li 2.70
Li (0.5939, 0.1930, 0.3397)  5 Se 2.58-2.80

Output
SG: P-1, No. 2
ΔE_f (raw): -528 meV/atom
ΔE to the lowest computed polymorph: 0 meV per atom

---

Record 7
The following is a DFT calculation (GGA-PBE) of Cs2SrCuBr6 after structural relaxation.

abc: 7.7735 7.7735 8.2783
angles: 62.00 62.00 90.00
Last column: nearest neighbours and their distance in Å.
Positions (direct):
Br (0.7598, 0.7598, 0.4805)  1 Sr 2.97, 1 Cu 3.22
Cs (0.7500, 0.2500, 0.5000)  12 Br 3.89-4.15
Sr (0.0000, 0.0000, 0.0000)  6 Br 2.97-3.04
Cu (0.5000, 0.5000, 0.0000)  4 Br 2.46
Br (0.2766, 0.2766, 0.0000)  1 Cu 2.46
Br (0.7234, 0.2766, 0.0000)  1 Cu 2.46
Cs (0.2500, 0.7500, 0.5000)  12 Br 3.89-4.15
Br (0.2766, 0.7234, 0.0000)  1 Cu 2.46
Br (0.2402, 0.2402, 0.5195)  1 Sr 2.97, 1 Cu 3.22
Br (0.7234, 0.7234, 0.0000)  1 Cu 2.46

Output
SG: I4/mmm, No. 139
ΔE_f (raw): -1403 meV/atom

---

Record 8
The following is a DFT calculation (GGA-PBE) of LiTl12 after structural relaxation.

abc: 7.9678 7.9678 7.9678
angles: 109.47 109.47 109.47
Last column: nearest neighbours and their distance in Å.
Positions (direct):
Tl (0.8186, 0.6898, 0.5084)  1 Li 3.31, 10 Tl 3.34-3.51
Tl (0.4916, 0.1814, 0.3102)  1 Li 3.31, 10 Tl 3.34-3.51
Tl (0.3102, 0.1288, 0.8186)  1 Li 3.31, 10 Tl 3.34-3.51
Li (0.0000, 0.0000, 0.0000)  12 Tl 3.31
Tl (0.1288, 0.8186, 0.3102)  1 Li 3.31, 10 Tl 3.34-3.51
Tl (0.6898, 0.5084, 0.8186)  1 Li 3.31, 10 Tl 3.34-3.51
Tl (0.1814, 0.3102, 0.4916)  1 Li 3.31, 10 Tl 3.34-3.51
Tl (0.8712, 0.1814, 0.6898)  1 Li 3.31, 10 Tl 3.34-3.51
Tl (0.8186, 0.3102, 0.1288)  1 Li 3.31, 10 Tl 3.34-3.51
Tl (0.3102, 0.4916, 0.1814)  1 Li 3.31, 10 Tl 3.34-3.51
Tl (0.1814, 0.6898, 0.8712)  1 Li 3.31, 10 Tl 3.34-3.51
Tl (0.5084, 0.8186, 0.6898)  1 Li 3.31, 10 Tl 3.34-3.51
Tl (0.6898, 0.8712, 0.1814)  1 Li 3.31, 10 Tl 3.34-3.51

Output
SG: Im-3, No. 204
ΔH_f (0 K): 0.02 eV/f.u.

---

Record 9
The following is a DFT calculation (GGA-PBE) of TlZn2C after structural relaxation.

abc: 6.2884 6.2884 6.2586
angles: 59.84 59.84 90.00
Last column: nearest neighbours and their distance in Å.
Positions (direct):
Tl (0.7500, 0.2500, 0.5000)  12 Zn 3.66-3.69, 4 Tl 3.84, 4 C 3.84
Zn (0.3750, 0.6244, 0.7500)  2 C 1.92
C (0.5000, 0.5000, 0.0000)  4 Zn 1.92
Tl (0.0000, 0.0000, 0.0000)  12 Zn 3.66-3.69, 4 Tl 3.84, 4 C 3.84
Zn (0.3744, 0.6250, 0.2500)  2 C 1.92
Zn (0.8750, 0.6256, 0.7500)  2 C 1.92
C (0.2500, 0.7500, 0.5000)  4 Zn 1.92
Zn (0.3756, 0.1250, 0.2500)  2 C 1.92

Output
SG: I4_1/amd, No. 141
ΔE to the lowest computed polymorph: 0 meV per atom
ΔH_f (0 K): 2.24 eV/f.u.

---

Record 10
The following is a DFT calculation (GGA-PBE) of Ho2TlBi after structural relaxation.

abc: 4.0120 4.0120 6.9837
angles: 90.00 90.00 90.00
Last column: nearest neighbours and their distance in Å.
Positions (direct):
Ho (0.0000, 0.0000, 0.2535)  4 Bi 3.32, 4 Tl 3.34, 2 Ho 3.44-3.54
Tl (0.5000, 0.5000, 0.0000)  8 Ho 3.34, 2 Bi 3.49
Bi (0.5000, 0.5000, 0.5000)  8 Ho 3.32, 2 Tl 3.49
Ho (0.0000, 0.0000, 0.7465)  4 Bi 3.32, 4 Tl 3.34, 2 Ho 3.44-3.54

Output
SG: P4/mmm, No. 123
ΔE to the lowest computed polymorph: 9 meV per atom
ΔH_f (0 K): -1.82 eV/f.u.

---

Record 11
The following is a DFT calculation (GGA-PBE) of Ba4As2H after structural relaxation.

abc: 8.3229 9.3830 13.6532
angles: 90.00 90.00 90.00
Last column: nearest neighbours and their distance in Å.
Positions (direct):
Ba (0.2500, 0.4288, 0.4563)  1 H 2.68
Ba (0.9936, 0.3494, 0.1493)  1 H 2.64
As (0.2500, 0.9573, 0.8065)  7 Ba 3.25-3.57
Ba (0.4936, 0.6506, 0.8507)  1 H 2.64
Ba (0.5064, 0.3494, 0.1493)  1 H 2.64
Ba (0.7500, 0.5712, 0.5437)  1 H 2.68
Ba (0.7500, 0.2141, 0.4029)  1 H 2.70
Ba (0.2500, 0.7859, 0.5971)  1 H 2.70
As (0.2500, 0.4573, 0.6935)  7 Ba 3.25-3.57
Ba (0.0064, 0.6506, 0.8507)  1 H 2.64
H (0.2500, 0.2049, 0.0929)  4 Ba 2.64-2.70
Ba (0.2500, 0.2859, 0.9029)  1 H 2.70
Ba (0.5064, 0.8494, 0.3507)  1 H 2.64
As (0.2500, 0.0877, 0.4546)  6 Ba 3.20-3.44
Ba (0.7500, 0.0712, 0.9563)  1 H 2.68
Ba (0.7500, 0.7141, 0.0971)  1 H 2.70
As (0.7500, 0.4123, 0.9546)  6 Ba 3.20-3.44
As (0.2500, 0.5877, 0.0454)  6 Ba 3.20-3.44
Ba (0.0064, 0.1506, 0.6493)  1 H 2.64
Ba (0.2500, 0.9288, 0.0437)  1 H 2.68
Ba (0.4936, 0.1506, 0.6493)  1 H 2.64
H (0.7500, 0.7951, 0.9071)  4 Ba 2.64-2.70
H (0.2500, 0.7049, 0.4071)  4 Ba 2.64-2.70
H (0.7500, 0.2951, 0.5929)  4 Ba 2.64-2.70
As (0.7500, 0.0427, 0.1935)  7 Ba 3.25-3.57
As (0.7500, 0.9123, 0.5454)  6 Ba 3.20-3.44
Ba (0.9936, 0.8494, 0.3507)  1 H 2.64
As (0.7500, 0.5427, 0.3065)  7 Ba 3.25-3.57

Output
SG: Pnma, No. 62
Raw total energy: -3.68 eV per atom

---

no.,total magnetic moment (μB per cell)
1,0.00
2,0.00
3,0.00
4,13.99
5,0.56
6,0.00
7,1.00
8,0.00
9,0.00
10,0.00
11,0.00